Density functional theory data (PBE-GGA) for a geometry-optimized RePPtO2 structure.

a b c (Å): 3.6900 3.6900 5.3958
angles (deg): 90.00 90.00 90.00
Element x y z (fractional)
Re 0.0000 0.0000 0.0000
O 0.0000 0.5000 0.0000
P 0.0000 0.0000 0.5000
O 0.5000 0.0000 0.0000
Pt 0.5000 0.5000 0.5000

Volume   14.69 A^3/atom
Crystal system   tetragonal
E above lowest polymorph   0.0000 eV/atom

***

Density functional theory data (PBE-GGA) for a geometry-optimized P2PtRhO structure.

a b c (Å): 4.7600 4.7600 3.6975
angles (deg): 90.00 90.00 90.00
Each line ends with the local moment (μB).
Element x y z (fractional)
Rh 0.5000 0.5000 0.5000  0.01
P 0.5000 0.0000 0.0000  0.01
P 0.0000 0.5000 0.0000  0.01
O 0.0000 0.0000 0.5000  0.25
Pt 0.0000 0.0000 0.0000  0.17

Volume   16.76 A^3/atom
Crystal system   tetragonal
E above lowest polymorph   0.2777 eV/atom

***

Density functional theory data (PBE-GGA) for a geometry-optimized P2PtRhO structure.

a b c (Å): 4.7072 4.7072 3.6236
angles (deg): 90.00 90.00 90.00
Element x y z (fractional)
P 0.0000 0.5000 0.0000
P 0.5000 0.0000 0.0000
Pt 0.5000 0.5000 0.5000
O 0.0000 0.0000 0.5000
Rh 0.0000 0.0000 0.0000

Volume   16.06 A^3/atom
Crystal system   tetragonal
E above lowest polymorph   0.0000 eV/atom

***

Density functional theory data (PBE-GGA) for a geometry-optimized PRuPtO2 structure.

a b c (Å): 3.6369 3.6369 5.6712
angles (deg): 90.00 90.00 90.00
Element x y z (fractional)
O 0.0000 0.5000 0.0000
P 0.0000 0.0000 0.5000
Pt 0.5000 0.5000 0.5000
O 0.5000 0.0000 0.0000
Ru 0.0000 0.0000 0.0000

Volume   15.00 A^3/atom
Crystal system   tetragonal
E above lowest polymorph   0.0000 eV/atom

***

Density functional theory data (PBE-GGA) for a geometry-optimized P2RuPtO structure.

a b c (Å): 4.7593 4.7593 3.6504
angles (deg): 90.00 90.00 90.00
Element x y z (fractional)
Pt 0.0000 0.0000 0.0000
O 0.0000 0.0000 0.5000
Ru 0.5000 0.5000 0.5000
P 0.0000 0.5000 0.0000
P 0.5000 0.0000 0.0000

Volume   16.54 A^3/atom
Crystal system   tetragonal
E above lowest polymorph   0.6226 eV/atom

***

Density functional theory data (PBE-GGA) for a geometry-optimized PRuPtO2 structure.

a b c (Å): 3.6509 3.6509 6.9791
angles (deg): 90.00 90.00 90.00
Each line ends with the local moment (μB).
Element x y z (fractional)
Ru 0.5000 0.5000 0.5000  1.32
P 0.0000 0.0000 0.5000  0.00
O 0.5000 0.0000 0.0000  -0.05
O 0.0000 0.5000 0.0000  -0.05
Pt 0.0000 0.0000 0.0000  -0.09

Volume   18.60 A^3/atom
Crystal system   tetragonal
E above lowest polymorph   0.7344 eV/atom

***

Density functional theory data (PBE-GGA) for a geometry-optimized P2RuPtO structure.

a b c (Å): 4.7002 4.7002 3.5955
angles (deg): 90.00 90.00 90.00
Element x y z (fractional)
P 0.0000 0.5000 0.0000
P 0.5000 0.0000 0.0000
O 0.0000 0.0000 0.5000
Pt 0.5000 0.5000 0.5000
Ru 0.0000 0.0000 0.0000

Volume   15.89 A^3/atom
Crystal system   tetragonal
E above lowest polymorph   0.0000 eV/atom

***

Density functional theory data (PBE-GGA) for a geometry-optimized PPtS2O structure.

a b c (Å): 4.2234 4.2234 4.0940
angles (deg): 90.00 90.00 90.00
Element x y z (fractional)
S 0.5000 0.0000 0.0000
S 0.0000 0.5000 0.0000
Pt 0.5000 0.5000 0.5000
P 0.0000 0.0000 0.5000
O 0.0000 0.0000 0.0000

Volume   14.60 A^3/atom
Crystal system   tetragonal
E above lowest polymorph   0.0000 eV/atom

***

Density functional theory data (PBE-GGA) for a geometry-optimized PPtSO2 structure.

a b c (Å): 3.7313 3.7313 5.6076
angles (deg): 90.00 90.00 90.00
Each line ends with the local moment (μB).
Element x y z (fractional)
P 0.0000 0.0000 0.5000  0.09
O 0.5000 0.0000 0.0000  0.13
S 0.5000 0.5000 0.5000  -0.01
Pt 0.0000 0.0000 0.0000  0.19
O 0.0000 0.5000 0.0000  0.13

Volume   15.61 A^3/atom
Crystal system   tetragonal
Electronic total energy   -4.818 eV/atom

***

Density functional theory data (PBE-GGA) for a geometry-optimized PPtS2O structure.

a b c (Å): 4.7146 4.7146 4.6580
angles (deg): 90.00 90.00 90.00
Each line ends with the local moment (μB).
Element x y z (fractional)
S 0.5000 0.0000 0.0000  0.12
Pt 0.0000 0.0000 0.0000  0.04
O 0.5000 0.5000 0.5000  -0.17
P 0.0000 0.0000 0.5000  0.16
S 0.0000 0.5000 0.0000  0.12

Volume   20.71 A^3/atom
Crystal system   tetragonal
E above lowest polymorph   0.3558 eV/atom

***

Density functional theory data (PBE-GGA) for a geometry-optimized PPtSO2 structure.

a b c (Å): 3.4367 3.4367 5.7979
angles (deg): 90.00 90.00 90.00
Element x y z (fractional)
Pt 0.5000 0.5000 0.5000
S 0.0000 0.0000 0.0000
O 0.5000 0.0000 0.0000
O 0.0000 0.5000 0.0000
P 0.0000 0.0000 0.5000

Volume   13.70 A^3/atom
Crystal system   tetragonal
Electronic total energy   -4.889 eV/atom

***

Density functional theory data (PBE-GGA) for a geometry-optimized SbPPtO2 structure.

a b c (Å): 3.7918 3.7918 5.6856
angles (deg): 90.00 90.00 90.00
Each line ends with the local moment (μB).
Element x y z (fractional)
O 0.0000 0.5000 0.0000  0.02
Pt 0.5000 0.5000 0.5000  0.25
O 0.5000 0.0000 0.0000  0.02
P 0.0000 0.0000 0.5000  0.02
Sb 0.0000 0.0000 0.0000  0.00

Volume   16.35 A^3/atom
Crystal system   tetragonal
E above lowest polymorph   0.0000 eV/atom

***

In states/eV/cell, the DOS at the Fermi energy values for the records above are, in order, 2.653; 5.552; 2.962; 4.756; 4.897; 4.578; 2.708; 4.794; 4.931; 7.170; 3.692; 6.389.
In μB/atom, the magnetic moment values for the records above are, in order, 0.000; 0.101; 0.000; 0.000; 0.000; 0.261; 0.000; 0.000; 0.134; 0.110; 0.000; 0.077.